## Ba2Mg2Tl2Cr3O10 (PBE+U)

Data for crystalline Ba2Mg2Tl2Cr3O10 at its relaxed geometry.

## Properties
- Calculated volume: 297.9 Å³/cell
- Electronic total energy: -118.343 eV per formula unit

Cell lengths 3.8618, 3.8740, 19.9194 Å; angles 88.68, 89.89, 89.92 degrees
Closest atoms and distances in Å follow each position.
Space group P1 (No. 1)
Unique sites:
Ba: 0.0000 0.0000 0.0000 (multiplicity 1)  5 O 2.62-2.79
Ba: 0.4947 0.5489 0.3888 (multiplicity 1)  5 O 2.62-2.79
Mg: 0.0017 0.0164 0.8182 (multiplicity 1)  5 O 1.98-2.10
Mg: 0.4932 0.5319 0.5706 (multiplicity 1)  5 O 1.98-2.09
Tl: 0.4977 0.5386 0.1415 (multiplicity 1)  3 O 2.42-2.47
Tl: 0.9962 0.0085 0.2475 (multiplicity 1)  3 O 2.42-2.47
Cr: 0.5012 0.5093 0.8793 (multiplicity 1)  5 O 1.92-2.00
Cr: 0.5107 0.0083 0.6942 (multiplicity 1)  4 O 1.94-2.05
Cr: 0.9937 0.0386 0.5096 (multiplicity 1)  5 O 1.92-2.00
O: 0.0014 0.5110 0.8580 (multiplicity 1)  2 Cr 1.98, 2 Mg 2.09-2.10
O: 0.4935 0.0364 0.5348 (multiplicity 1)  2 Cr 1.99-2.00, 2 Mg 2.06-2.07
O: 0.4951 0.3774 0.2622 (multiplicity 1)  3 Tl 2.42-2.47, 1 Ba 2.62
O: 0.4966 0.5265 0.6702 (multiplicity 1)  2 Cr 1.94-2.05, 1 Mg 1.98
O: 0.5004 0.4977 0.9756 (multiplicity 1)  1 Cr 1.92
O: 0.5012 0.0121 0.8546 (multiplicity 1)  2 Cr 2.00, 2 Mg 2.06
O: 0.9938 0.5361 0.5304 (multiplicity 1)  2 Cr 1.98, 2 Mg 2.09
O: 0.9946 0.0504 0.4133 (multiplicity 1)  1 Cr 1.92
O: 0.9975 0.0222 0.7185 (multiplicity 1)  2 Cr 1.94-2.04, 1 Mg 1.98
O: 0.9988 0.1694 0.1268 (multiplicity 1)  3 Tl 2.42-2.47, 1 Ba 2.62